(1)
DFT (PBE-GGA) results for a relaxed SmAgS crystal.

Structure (CIF):
```
data_SmAgS
_cell_length_a 4.6701
_cell_length_b 4.6701
_cell_length_c 23.4678
_cell_angle_alpha 90.00
_cell_angle_beta 90.00
_cell_angle_gamma 120.00
_space_group_name_H-M_alt 'R -3 m'
_space_group_IT_number 166
_space_group_name_Hall '-R 3 2"'
loop_
_atom_site_label
_atom_site_type_symbol
_atom_site_fract_x
_atom_site_fract_y
_atom_site_fract_z
Sm1 Sm 0.0000 0.0000 0.0900
Ag1 Ag 0.0000 0.0000 0.3319
S1 S 0.0000 0.0000 0.2120
```

Summary:
Its uncorrected formation energy is -1.13 eV per atom. The total magnetic moment is 0.0 μB per cell.

***

(2)
DFT (PBE-GGA) results for a relaxed SmAg2S2 crystal.

Structure (CIF):
```
data_SmAg2S2
_cell_length_a 8.271
_cell_length_b 8.102
_cell_length_c 7.392
_cell_angle_alpha 90.00
_cell_angle_beta 119.32
_cell_angle_gamma 90.00
_space_group_name_H-M_alt 'C 1 2/c 1'
_space_group_IT_number 15
_space_group_name_Hall '-C 2yc'
loop_
_atom_site_label
_atom_site_type_symbol
_atom_site_fract_x
_atom_site_fract_y
_atom_site_fract_z
Sm1 Sm 0.000 0.143 0.250
Ag1 Ag 0.000 0.500 0.000
Ag2 Ag 0.250 0.250 0.000
S1 S 0.222 0.107 0.695
```

Summary:
Its uncorrected formation energy is -0.72 eV per atom. The total magnetic moment is 0.0 μB per cell.

***

(3)
DFT (PBE-GGA) results for a relaxed Sm5AgS4 crystal.

Structure (CIF):
```
data_Sm5AgS4
_cell_length_a 13.589
_cell_length_b 4.025
_cell_length_c 10.033
_cell_angle_alpha 90.00
_cell_angle_beta 120.12
_cell_angle_gamma 90.00
_space_group_name_H-M_alt 'C 1 2/m 1'
_space_group_IT_number 12
_space_group_name_Hall '-C 2y'
loop_
_atom_site_label
_atom_site_type_symbol
_atom_site_fract_x
_atom_site_fract_y
_atom_site_fract_z
Sm1 Sm 0.000 0.000 0.000
Sm2 Sm 0.109 0.500 0.392
Sm3 Sm 0.205 0.000 0.811
Ag1 Ag 0.000 0.000 0.500
S1 S 0.097 0.500 0.899
S2 S 0.204 0.000 0.295
```

Summary:
Its uncorrected formation energy is -1.64 eV per atom. The total magnetic moment is 0.0 μB per cell.

***

no.,volume (Å³/atom),electronic total energy (eV per atom)
1,24.62,-5.026
2,21.59,-4.458
3,23.73,-5.932